[1]
Density functional theory data (PBE-GGA) for a relaxed Y2CrBPb crystal.

Structure (POSCAR):
```
Y2CrBPb
1.0
5.085 0.000 0.000
0.000 5.085 0.000
0.000 0.000 4.247
Y Cr B Pb
2 1 1 1
direct
0.000 0.500 0.000
0.500 0.000 0.000
0.000 0.000 0.500
0.000 0.000 0.000
0.500 0.500 0.500
```

Values from the calculation:
space group	No. 123
density of states at the Fermi level	2.650	states/eV per cell
total energy	-33.99	eV for the cell shown

***

[2]
Density functional theory data (PBE-GGA) for a relaxed Li6SbPt2 crystal.

Structure (POSCAR):
```
Li6SbPt2
1.0
3.803 2.196 2.676
-3.803 2.196 2.676
0.000 -4.392 2.676
Li Sb Pt
6 1 2
direct
0.000 0.328 0.672
0.000 0.672 0.328
0.328 0.000 0.672
0.328 0.672 0.000
0.672 0.000 0.328
0.672 0.328 0.000
0.500 0.500 0.500
0.162 0.162 0.162
0.838 0.838 0.838
```

Values from the calculation:
space group	No. 166
formation energy from raw total energies	-0.56	eV/atom
density of states at the Fermi level	2.290	states/eV per cell

***

[3]
Density functional theory data (PBE-GGA) for a relaxed LiSmSi3 crystal.

Structure (POSCAR):
```
LiSmSi3
1.0
2.091 -11.817 0.000
2.091 11.817 0.000
0.000 0.000 3.885
Li Sm Si
2 2 6
direct
0.204 0.796 0.750
0.796 0.204 0.250
0.075 0.925 0.250
0.925 0.075 0.750
0.317 0.683 0.750
0.373 0.627 0.250
0.473 0.527 0.250
0.527 0.473 0.750
0.627 0.373 0.750
0.683 0.317 0.250
```

Values from the calculation:
space group	No. 63
formation energy from raw total energies	-0.41	eV/atom
density of states at the Fermi level	4.065	states/eV per cell